Material: ThCo3B3
Method: DFT, PBE-GGA
State: relaxed Values from VASP.

Geometry as Quantum ESPRESSO input:
```
&SYSTEM
  ibrav = 0, nat = 14, ntyp = 3
/
ATOMIC_SPECIES
B 10.81 B.upf
Co 58.93 Co.upf
Th 232.04 Th.upf
CELL_PARAMETERS angstrom
-5.205 -1.925 -0.008
1.654 -4.484 2.821
-0.984 2.643 4.780
ATOMIC_POSITIONS crystal
B 0.000 0.250 0.500
B 0.000 0.750 0.500
B 0.500 0.000 0.750
B 0.750 0.500 0.000
B 0.500 0.000 0.250
B 0.250 0.500 0.000
Co 0.250 0.000 0.500
Co 0.000 0.500 0.250
Co 0.500 0.750 0.000
Co 0.750 0.000 0.500
Co 0.000 0.500 0.750
Co 0.500 0.250 0.000
Th 0.500 0.500 0.500
Th 0.000 0.000 0.000
```

energy of formation from the pure elements = -0.192 eV/atom
ΔE to the lowest computed polymorph = 87 meV per atom
raw total energy = -100.2 eV for the cell shown